No. 1
A geometry-optimized Ce2Fe2Ni15 structure, computed with PBE-GGA. Values from VASP.

```
&SYSTEM
  ibrav = 0, nat = 19, ntyp = 3
/
ATOMIC_SPECIES
Ce 140.12 Ce.upf
Fe 55.84 Fe.upf
Ni 58.69 Ni.upf
CELL_PARAMETERS angstrom
4.151 2.397 4.069
-4.151 2.397 4.069
0.000 -4.794 4.069
ATOMIC_POSITIONS crystal
Ce 0.158 0.158 0.158
Ce 0.842 0.842 0.842
Fe 0.406 0.406 0.406
Fe 0.594 0.594 0.594
Ni 0.000 0.500 0.500
Ni 0.157 0.157 0.654
Ni 0.157 0.654 0.157
Ni 0.201 0.500 0.799
Ni 0.201 0.799 0.500
Ni 0.346 0.843 0.843
Ni 0.500 0.000 0.500
Ni 0.500 0.201 0.799
Ni 0.500 0.500 0.000
Ni 0.500 0.799 0.201
Ni 0.654 0.157 0.157
Ni 0.799 0.201 0.500
Ni 0.799 0.500 0.201
Ni 0.843 0.346 0.843
Ni 0.843 0.843 0.346
```

Computed properties:
The density of states at the Fermi level is 1.1238 states/eV/atom. The electronic total energy is -6.287 eV per atom. The formation enthalpy at 0 K is -0.21 eV per atom. Its mass density is 8.697 g/cm³.

---

No. 2
A geometry-optimized TaFeCo3 structure, computed with PBE-GGA. Values from VASP.

```
&SYSTEM
  ibrav = 0, nat = 5, ntyp = 3
/
ATOMIC_SPECIES
Ta 180.95 Ta.upf
Fe 55.84 Fe.upf
Co 58.93 Co.upf
CELL_PARAMETERS angstrom
4.420 0.000 0.000
0.000 4.420 0.000
0.000 0.000 4.420
ATOMIC_POSITIONS crystal
Ta 0.000 0.000 0.000
Fe 0.500 0.500 0.500
Co 0.000 0.000 0.500
Co 0.000 0.500 0.000
Co 0.500 0.000 0.000
```

Computed properties:
The density of states at the Fermi level is 1.9901 states/eV/atom. The electronic total energy is -6.765 eV per atom. The formation enthalpy at 0 K is 1.56 eV per atom. Its mass density is 7.953 g/cm³.